First-principles (PBE) data for a relaxed structure of Cs3BaCa2H9, as listed in the Alexandria database.

Cell lengths 6.728, 6.728, 8.322 Å; angles 90.00, 90.00, 120.00 degrees
Element x y z (fractional)
Cs  0.000  0.000  0.000
Cs  0.333  0.667  0.675
Cs  0.667  0.333  0.325
Ba  0.000  0.000  0.500
Ca  0.333  0.667  0.154
Ca  0.667  0.333  0.846
H  0.000  0.500  0.000
H  0.178  0.355  0.315
H  0.178  0.822  0.315
H  0.355  0.178  0.685
H  0.500  0.000  0.000
H  0.500  0.500  0.000
H  0.645  0.822  0.315
H  0.822  0.178  0.685
H  0.822  0.645  0.685

**Mass density**: 3.18 g/cm3
**Magnetization**: 0.00 μB/f.u.
**Calculated volume**: 326.2 Å³ per cell
**Symmetry**: P-3m1
**Raw total energy**: -2.949 eV/atom
**Crystal system**: trigonal



First-principles (PBE) data for a relaxed structure of GeS2ICl, as listed in the Alexandria database.

Cell lengths 5.157, 5.157, 5.308 Å; angles 90.00, 90.00, 90.00 degrees
Element x y z (fractional)
Ge  0.000  0.000  0.000
S  0.000  0.500  0.500
S  0.500  0.000  0.500
I  0.500  0.500  0.500
Cl  0.500  0.500  0.000

**E above lowest polymorph**: 434 meV/atom
**Mass density**: 3.52 g/cm3
**E_form (uncorrected)**: 755 meV/atom
**Magnetization**: 0.33 μB/f.u.
**Calculated volume**: 141.2 Å³ per cell
**Symmetry**: P4/mmm
**Raw total energy**: -2.499 eV/atom
**Crystal system**: tetragonal



First-principles (PBE) data for a relaxed structure of HoFeP2Ru, as listed in the Alexandria database.

Cell lengths 5.509, 5.509, 5.509 Å; angles 138.07, 138.07, 60.79 degrees
Element x y z (fractional)
Ho  0.000  0.000  0.000
Fe  0.750  0.250  0.500
P  0.373  0.373  0.000
P  0.627  0.627  0.000
Ru  0.250  0.750  0.500

**Mass density**: 8.63 g/cm3
**Magnetization**: 0.00 μB/f.u.
**Calculated volume**: 73.8 Å³ per cell
**E_form**: -4.9 eV per formula unit
**Symmetry**: I-4m2
**Raw total energy**: -7.613 eV/atom
**Crystal system**: tetragonal



First-principles (PBE) data for a relaxed structure of PrCdSn, as listed in the Alexandria database.

Cell lengths 4.860, 4.860, 4.044 Å; angles 90.00, 90.00, 120.00 degrees
Element x y z (fractional)
Pr  0.000  0.000  0.000
Cd  0.667  0.333  0.573
Sn  0.333  0.667  0.431

**Mass density**: 7.47 g/cm3
**Magnetization**: 0.00 μB/f.u.
**Calculated volume**: 82.7 Å³ per cell
**E_form**: -1.5 eV per formula unit
**Symmetry**: P3m1
**Raw total energy**: -3.742 eV/atom
**Crystal system**: trigonal



First-principles (PBE) data for a relaxed structure of MnIrRh2, as listed in the Alexandria database.

Cell lengths 4.648, 4.648, 2.746 Å; angles 90.00, 90.00, 109.00 degrees
Element x y z (fractional)
Mn  0.000  0.000  0.000
Ir  0.500  0.500  0.000
Rh  0.000  0.500  0.500
Rh  0.500  0.000  0.500

**Mass density**: 13.41 g/cm3
**Magnetization**: 3.03 μB/f.u.
**Calculated volume**: 56.1 Å³ per cell
**E_form**: -0.4 eV per formula unit
**Symmetry**: Cmmm
**Raw total energy**: -8.282 eV/atom
**Crystal system**: orthorhombic



First-principles (PBE) data for a relaxed structure of K2CaSn2S4, as listed in the Alexandria database.

Cell lengths 8.439, 8.439, 10.571 Å; angles 124.57, 124.57, 28.07 degrees
Element x y z (fractional)
K  0.123  0.123  0.294
K  0.877  0.877  0.706
Ca  0.000  0.000  0.500
Sn  0.290  0.290  0.155
Sn  0.710  0.710  0.845
S  0.215  0.215  0.681
S  0.477  0.477  0.293
S  0.523  0.523  0.707
S  0.785  0.785  0.319

**Mass density**: 2.80 g/cm3
**E_form (uncorrected)**: -1093 meV/atom
**Magnetization**: 0.00 μB/f.u.
**Calculated volume**: 287.3 Å³ per cell
**Symmetry**: C2/m
**Raw total energy**: -4.283 eV/atom
**Crystal system**: monoclinic



First-principles (PBE) data for a relaxed structure of TiHgIr3, as listed in the Alexandria database.

Cell lengths 4.615, 4.615, 4.615 Å; angles 90.00, 90.00, 90.00 degrees
Element x y z (fractional)
Ti  0.000  0.000  0.000
Hg  0.500  0.500  0.500
Ir  0.000  0.000  0.500
Ir  0.000  0.500  0.000
Ir  0.500  0.000  0.000

**E above lowest polymorph**: 0 meV/atom
**Mass density**: 13.94 g/cm3
**Magnetization**: 0.00 μB/f.u.
**Calculated volume**: 98.3 Å³ per cell
**E_form**: 5.4 eV per formula unit
**Symmetry**: Pm-3m
**Raw total energy**: -5.874 eV/atom
**Crystal system**: cubic



First-principles (PBE) data for a relaxed structure of KLi2Pt, as listed in the Alexandria database.

Cell lengths 3.410, 3.410, 8.063 Å; angles 90.00, 90.00, 90.00 degrees
Element x y z (fractional)
K  0.000  0.000  0.000
Li  0.000  0.000  0.606
Li  0.500  0.500  0.400
Pt  0.500  0.500  0.713

**Mass density**: 4.39 g/cm3
**Magnetization**: 0.00 μB/f.u.
**Calculated volume**: 93.8 Å³ per cell
**E_form**: -0.4 eV per formula unit
**Symmetry**: P4mm
**Raw total energy**: -2.842 eV/atom
**Crystal system**: tetragonal